Material: TlNi6
Method: DFT, PBE-GGA
State: optimized geometry

Summary:
The total moment comes out at 4.32 μB/cell. The calculation puts the energy at -0.1631 hartree per atom. The density of states at the Fermi level comes out at 9.91 states/eV/cell. The value obtained for the density is 7.5 Mg/m³. The formation energy from the elements is 0.855 eV per atom.

abc: 5.438 5.438 5.438
angles: 109.47 109.47 109.47
Each line ends with the local moment (μB).
Element x y z (fractional)
Ni (0.750, 0.500, 0.250)  0.77
Ni (0.500, 0.250, 0.750)  0.77
Ni (0.250, 0.500, 0.750)  0.77
Ni (0.250, 0.750, 0.500)  0.77
Ni (0.500, 0.750, 0.250)  0.77
Ni (0.750, 0.250, 0.500)  0.77
Tl (0.000, 0.000, 0.000)  -0.02